The following is a DFT calculation (PBE-GGA) of a relaxed structure of Tb4HoTh.

It has space group F-43m (No. 216), with a = 9.248 Å, b = 9.248 Å, c = 9.248 Å, α = 90.00°, β = 90.00° and γ = 90.00°. Symmetry generates all atoms from Tb at (0.125, 0.125, 0.125), Ho at (0.250, 0.250, 0.750) and Th at (0.000, 0.000, 0.500).

The calculation puts the final energy at -4.761 eV per atom. The value obtained for the density of states at the Fermi level is 12.6 states/eV/f.u. As for the offset from the most stable computed form: 0.300 eV/atom. As for the total magnetization: 1.94 μB per formula unit.

***

The following is a DFT calculation (PBE-GGA) of a relaxed structure of Ac3SiPb2.

It has space group Immm (No. 71), with a = 3.933 Å, b = 6.036 Å, c = 19.207 Å, α = 90.00°, β = 90.00° and γ = 90.00°. Symmetry generates all atoms from Ac at (0.000, 0.000, 0.000), Ac at (0.000, 0.500, 0.163), Si at (0.000, 0.500, 0.000) and Pb at (0.000, 0.500, 0.343).

The calculation puts the final energy at -4.403 eV per atom. The value obtained for the density of states at the Fermi level is 5.9 states/eV/f.u. As for the offset from the most stable computed form: 0.254 eV/atom. The formation energy without anion corrections is -0.21 eV per atom. As for the total magnetization: 0.00 μB per formula unit.

***

The following is a DFT calculation (PBE-GGA) of a relaxed structure of UIr2Se6.

It has space group C2/m (No. 12), with a = 15.378 Å, b = 3.801 Å, c = 8.304 Å, α = 90.00°, β = 114.11° and γ = 90.00°. Symmetry generates all atoms from U at (0.000, 0.000, 0.000), Ir at (0.157, 0.500, 0.307), Se at (0.021, 0.500, 0.778), Se at (0.165, 0.000, 0.516) and Se at (0.191, 0.000, 0.136).

The calculation puts the final energy at -6.209 eV per atom. The value obtained for the density of states at the Fermi level is 2.0 states/eV/f.u. The formation energy without anion corrections is -0.66 eV per atom. As for the total magnetization: 0.00 μB per formula unit.